# KTl4Hg (PBEsol, optimized geometry)
# DFT total energy: -2.0367 eV per atom
# Density of states at the Fermi level: 0.461 states/eV/atom
# Calculated formation energy: 0.000 eV per atom
data_KTl4Hg
_symmetry_space_group_name_H-M 'F -4 3 m'
_symmetry_Int_Tables_number 216
_symmetry_space_group_name_Hall 'F -4 2 3'
_cell_length_a 9.009
_cell_length_b 9.009
_cell_length_c 9.009
_cell_angle_alpha 90.00
_cell_angle_beta 90.00
_cell_angle_gamma 90.00
loop_
_atom_site_label
_atom_site_fract_x
_atom_site_fract_y
_atom_site_fract_z
K1 0.000 0.000 0.000
Tl1 0.124 0.124 0.376
Hg1 0.250 0.250 0.750